1.
Ti2SiBi (PBE, optimized geometry); total magnetic moment = 0.00 μB/f.u.; electronic total energy = -6.229 eV per atom; energy above the lowest structure with this stoichiometry = 0.0 meV/atom
1.0
4.170 1.241 1.816
0.276 1.499 4.461
2.045 -2.707 3.274
Si Bi Ti
1 1 2
Cartesian
0.000 0.000 0.000 Si
3.245 0.016 4.776 Bi
4.868 0.025 7.163 Ti
1.623 0.008 2.388 Ti

=====

2.
Ti2SiBi2 (PBE, optimized geometry); total magnetic moment = 0.00 μB/f.u.; electronic total energy = -5.456 eV per atom; energy above the lowest structure with this stoichiometry = 344.4 meV/atom
1.0
-0.661 4.958 6.117
4.056 -5.047 4.529
3.139 1.637 -0.987
Bi Si Ti
4 2 4
Cartesian
0.221 2.464 4.788 Bi
3.174 -2.554 5.858 Bi
1.262 -0.898 2.522 Bi
2.133 0.809 8.124 Bi
0.000 0.000 0.000 Si
1.698 -0.045 5.323 Si
4.693 -0.473 7.296 Ti
4.031 -1.716 3.129 Ti
2.503 3.264 6.529 Ti
1.841 2.021 2.362 Ti

=====

3.
TiSi3Bi (PBE, optimized geometry); total magnetic moment = 2.17 μB/f.u.; electronic total energy = -3.867 eV per atom; energy above the lowest structure with this stoichiometry = 1161.8 meV/atom
1.0
5.279 0.000 0.000
0.000 5.279 0.000
0.000 0.000 5.279
Si Bi Ti
3 1 1
Cartesian
0.000 2.639 0.000 Si
0.000 0.000 2.639 Si
2.639 0.000 0.000 Si
0.000 0.000 0.000 Bi
2.639 2.639 2.639 Ti

=====

4.
Ti5SiBi2 (PBE, optimized geometry); total magnetic moment = 0.00 μB/f.u.; electronic total energy = -6.408 eV per atom
1.0
-1.372 -4.370 1.019
1.612 0.398 -6.927
10.911 -2.873 2.374
Ti Bi Si
10 4 2
Cartesian
0.823 -1.148 -3.817 Ti
6.950 -5.372 -2.877 Ti
2.421 -3.635 -1.526 Ti
8.730 -3.210 -2.008 Ti
9.457 -6.032 -2.331 Ti
4.201 -1.472 -0.657 Ti
1.694 -0.812 -1.202 Ti
5.400 -4.399 -0.789 Ti
10.328 -5.696 0.283 Ti
5.750 -2.446 -2.745 Ti
6.863 -2.106 0.210 Bi
9.862 -2.896 0.863 Bi
1.289 -3.949 -4.397 Bi
4.288 -4.738 -3.744 Bi
7.897 -5.111 -0.481 Si
3.254 -1.733 -3.053 Si

=====

5.
Ti2Si2Bi (PBE, optimized geometry); total magnetic moment = 0.00 μB/f.u.; electronic total energy = -6.238 eV per atom; energy above the lowest structure with this stoichiometry = 198.3 meV/atom
1.0
7.189 0.000 0.000
0.000 7.189 0.000
0.000 0.000 3.473
Si Bi Ti
4 2 4
Cartesian
6.349 4.435 0.000 Si
4.435 0.840 0.000 Si
0.840 2.754 0.000 Si
2.754 6.349 0.000 Si
0.000 0.000 0.000 Bi
3.595 3.595 0.000 Bi
4.805 5.978 1.737 Ti
5.978 2.384 1.737 Ti
1.211 4.805 1.737 Ti
2.384 1.211 1.737 Ti

=====

6.
TiSi2Bi (PBE, optimized geometry); total magnetic moment = 0.00 μB/f.u.; electronic total energy = -5.119 eV per atom
1.0
6.011 0.000 0.000
0.000 6.011 0.000
3.005 3.005 6.278
Ti Si Bi
2 4 2
Cartesian
3.005 6.011 3.139 Ti
3.005 3.005 0.000 Ti
1.728 4.508 1.570 Si
7.513 7.288 4.709 Si
4.508 4.733 4.709 Si
4.283 1.503 1.570 Si
0.000 0.000 0.000 Bi
6.011 3.005 3.139 Bi

=====

7.
Ti2SiBi2 (PBE, optimized geometry); total magnetic moment = 0.00 μB/f.u.; electronic total energy = -5.801 eV per atom; energy above the lowest structure with this stoichiometry = 0.0 meV/atom
1.0
-4.821 -4.357 -2.536
-2.421 -1.077 6.452
-2.785 3.363 -0.484
Bi Ti Si
4 4 2
Cartesian
-3.407 0.045 -0.027 Bi
-3.798 0.247 3.630 Bi
-6.229 -2.317 -0.198 Bi
-6.620 -2.115 3.459 Bi
-3.488 -2.987 -0.685 Ti
-3.754 -2.447 4.602 Ti
-5.674 -4.407 2.027 Ti
-1.568 -1.026 1.889 Ti
-3.621 -2.717 1.958 Si
0.000 0.000 0.000 Si

=====

8.
Ti2Si2Bi (PBE, optimized geometry); total magnetic moment = 0.00 μB/f.u.; electronic total energy = -6.436 eV per atom; energy above the lowest structure with this stoichiometry = 0.0 meV/atom
1.0
3.574 0.000 0.000
0.000 3.574 0.000
1.787 1.787 7.046
Si Ti Bi
2 2 1
Cartesian
1.787 3.574 3.523 Si
3.574 1.787 3.523 Si
1.787 1.787 1.580 Ti
3.574 3.574 5.466 Ti
0.000 0.000 0.000 Bi

=====

9.
Ti2SiBi (PBE, optimized geometry); total magnetic moment = 0.00 μB/f.u.; electronic total energy = -5.761 eV per atom; energy above the lowest structure with this stoichiometry = 468.5 meV/atom
1.0
-1.227 0.433 -5.808
5.737 -0.936 -1.282
1.195 -6.425 -3.781
Si Ti Bi
2 4 2
Cartesian
4.593 -3.806 -4.304 Si
2.255 -0.252 -3.545 Si
2.879 -5.055 -5.560 Ti
3.669 -2.115 -2.767 Ti
4.551 -5.211 -8.974 Ti
0.311 -1.475 -4.440 Ti
1.111 -3.122 -6.567 Bi
0.000 0.000 0.000 Bi

=====

10.
Ti5Si2Bi (PBE, optimized geometry); total magnetic moment = 0.00 μB/f.u.; electronic total energy = -7.334 eV per atom
1.0
6.032 0.000 -2.847
-1.344 5.880 -2.847
-0.032 -0.040 7.744
Ti Bi Si
10 2 4
Cartesian
0.727 4.695 -1.000 Ti
3.928 1.144 3.050 Ti
-0.579 3.057 4.045 Ti
0.000 0.000 0.000 Ti
2.202 4.084 2.124 Ti
5.235 2.783 -1.995 Ti
2.344 2.940 -2.847 Ti
2.454 1.755 -0.074 Ti
3.508 5.723 -2.921 Ti
1.147 0.117 4.971 Ti
1.156 1.450 2.449 Bi
3.500 4.390 -0.399 Bi
1.051 5.101 -3.516 Si
3.637 0.779 -2.178 Si
0.305 2.161 -1.424 Si
4.382 3.719 -4.271 Si

=====

11.
Ti8SiBi2 (PBE, optimized geometry); total magnetic moment = 0.00 μB/f.u.; electronic total energy = -7.121 eV per atom
1.0
-4.176 1.118 2.043
-2.525 -1.646 -4.261
1.967 -7.603 2.588
Si Ti Bi
1 8 2
Cartesian
-2.088 0.559 1.021 Si
-3.826 -4.271 0.113 Ti
-2.339 -6.204 -1.383 Ti
-2.396 -1.926 1.753 Ti
-4.083 -7.117 1.145 Ti
-3.468 -1.514 -0.665 Ti
-1.266 -6.616 1.035 Ti
-0.651 -1.014 -0.775 Ti
-0.908 -3.860 0.257 Ti
-2.696 -4.706 2.662 Bi
-2.039 -3.425 -2.292 Bi

=====

12.
Ti2SiBi2 (PBE, optimized geometry); total magnetic moment = 0.00 μB/f.u.; electronic total energy = -5.271 eV per atom; energy above the lowest structure with this stoichiometry = 529.9 meV/atom
1.0
-0.239 3.498 -1.842
-3.398 -1.125 -1.696
-5.710 4.032 4.140
Ti Bi Si
2 2 1
Cartesian
-5.463 2.047 0.338 Ti
-3.883 4.358 0.265 Ti
-2.646 1.792 -0.512 Bi
-6.700 4.613 1.115 Bi
0.000 0.000 0.000 Si

=====

Which of these has the lowest electronic total energy?
Ti5Si2Bi

=====

electronic total energy of number 6 (TiSi2Bi)?
-5.119 eV per atom